Entry 1:
First-principles (GGA-PBE) data for a relaxed structure of Sm7Er6, as listed in the Alexandria database.

Properties
- calculated formation energy (meV per atom) = 255
- calculated volume (Å³ per atom) = 33.172
- D(E_F) (states/eV/cell) = 25.87
- crystal system = trigonal
- theoretical density (Mg/m³) = 7.9
- total DFT energy (no corrections) (eV per atom) = -4.392

a b c (Å): 6.563 6.563 12.167
angles (deg): 74.35 74.35 60.00
Sites, in units of the cell vectors:
Sm1 0.593 0.593 0.735
Sm2 0.921 0.407 0.265
Sm3 0.079 0.593 0.735
Sm4 0.593 0.079 0.735
Sm5 0.407 0.921 0.265
Sm6 0.500 0.500 0.500
Sm7 0.407 0.407 0.265
Er1 0.666 0.666 0.002
Er2 0.853 0.853 0.442
Er3 0.147 0.147 0.558
Er4 0.954 0.954 0.138
Er5 0.046 0.046 0.862
Er6 0.334 0.334 0.998

=====

Entry 2:
First-principles (GGA-PBE) data for a relaxed structure of SmEr4, as listed in the Alexandria database.

Properties
- calculated formation energy (meV per atom) = 22
- calculated volume (Å³ per atom) = 31.002
- D(E_F) (states/eV/cell) = 6.74
- energy relative to the lowest polymorph listed for this composition (meV/atom) = 0
- crystal system = monoclinic
- theoretical density (Mg/m³) = 8.8
- total DFT energy (no corrections) (eV per atom) = -4.572

a b c (Å): 3.530 3.530 14.482
angles (deg): 83.19 83.19 60.11
Sites, in units of the cell vectors:
Er1 0.200 0.200 0.401
Er2 0.600 0.600 0.203
Er3 0.400 0.400 0.797
Er4 0.800 0.800 0.599
Sm1 0.000 0.000 0.000